The following is a SCAN calculation of a PBEsol-optimized structure of BaYNi2, from Alexandria via LeMat-Bulk.

Structure (POSCAR):
```
BaYNi2
1.0
3.963 0.000 0.000
0.000 3.948 0.000
0.000 0.000 12.396
Ba Y Ni
2 2 4
Cartesian
0.000 0.000 0.000
0.000 1.974 6.198
1.982 0.000 9.083
1.982 1.974 2.885
0.000 0.000 3.455
0.000 1.974 9.653
1.982 0.000 4.708
1.982 1.974 10.906
```

Calculated values
energy above the lowest structure with this stoichiometry = 0 meV/atom
symmetry = Amm2, No. 38
D(E_F) = 5.312 states/eV per cell
formation energy from the elements = -55 meV per atom

The following is a SCAN calculation of a PBEsol-optimized structure of BaYNi2, from Alexandria via LeMat-Bulk.

Structure (POSCAR):
```
BaYNi2
1.0
3.501 0.000 0.000
0.000 3.501 0.000
0.000 0.000 7.114
Ba Y Ni
1 1 2
Cartesian
0.000 0.000 0.000
0.000 0.000 3.557
1.751 1.751 2.233
1.751 1.751 4.881
```

Calculated values
energy above the lowest structure with this stoichiometry = 26 meV/atom
symmetry = P4/mmm, No. 123
D(E_F) = 2.031 states/eV per cell
formation energy from the elements = -29 meV per atom

The following is a SCAN calculation of a PBEsol-optimized structure of BaYNi2, from Alexandria via LeMat-Bulk.

Structure (POSCAR):
```
BaYNi2
1.0
4.935 0.000 0.000
0.000 4.951 0.000
0.000 0.000 6.989
Ba Y Ni
2 2 4
Cartesian
0.000 0.000 0.000
2.468 2.475 3.495
0.000 0.000 3.495
2.468 2.475 0.000
0.000 2.475 1.734
0.000 2.475 5.255
2.468 0.000 1.760
2.468 0.000 5.229
```

Calculated values
energy above the lowest structure with this stoichiometry = 246 meV/atom
symmetry = Immm, No. 71
D(E_F) = 4.161 states/eV per cell
formation energy from the elements = 191 meV per atom

The following is a SCAN calculation of a PBEsol-optimized structure of BaY2Ni, from Alexandria via LeMat-Bulk.

Structure (POSCAR):
```
BaY2Ni
1.0
3.877 0.000 0.000
0.000 5.282 0.000
0.000 0.000 5.320
Ba Y Ni
1 2 1
Cartesian
0.000 0.000 0.000
0.000 2.641 2.660
1.938 0.000 2.660
1.938 2.641 0.000
```

Calculated values
energy above the lowest structure with this stoichiometry = 426 meV/atom
symmetry = Pmmm, No. 47
D(E_F) = 3.587 states/eV per cell
formation energy from the elements = 474 meV per atom

The following is a SCAN calculation of a PBEsol-optimized structure of BaY2Ni, from Alexandria via LeMat-Bulk.

Structure (POSCAR):
```
BaY2Ni
1.0
3.562 0.000 0.000
0.000 5.842 0.000
0.000 0.000 11.302
Ba Y Ni
2 4 2
Cartesian
0.000 0.000 0.000
1.781 2.921 5.651
0.000 2.921 2.050
0.000 2.921 9.252
1.781 0.000 3.601
1.781 0.000 7.701
0.000 0.000 5.651
1.781 2.921 0.000
```

Calculated values
energy above the lowest structure with this stoichiometry = 0 meV/atom
symmetry = Immm, No. 71
D(E_F) = 8.153 states/eV per cell
formation energy from the elements = 48 meV per atom

The following is a SCAN calculation of a PBEsol-optimized structure of BaYNi2, from Alexandria via LeMat-Bulk.

Structure (POSCAR):
```
BaYNi2
1.0
4.058 0.000 0.000
0.000 4.058 0.000
0.000 0.000 5.771
Ba Y Ni
1 1 2
Cartesian
0.000 0.000 0.000
2.029 2.029 2.895
0.000 0.000 2.882
2.029 2.029 0.016
```

Calculated values
energy above the lowest structure with this stoichiometry = 354 meV/atom
symmetry = P4mm, No. 99
D(E_F) = 1.776 states/eV per cell
formation energy from the elements = 299 meV per atom

The following is a SCAN calculation of a PBEsol-optimized structure of Ba2ZrNi, from Alexandria via LeMat-Bulk.

Structure (POSCAR):
```
Ba2ZrNi
1.0
3.839 0.000 0.000
0.000 5.277 0.000
0.000 0.000 5.304
Ba Zr Ni
2 1 1
Cartesian
0.000 0.000 0.000
1.919 2.639 0.000
0.000 2.639 2.652
1.919 0.000 2.652
```

Calculated values
energy above the lowest structure with this stoichiometry = 546 meV/atom
symmetry = Pmmm, No. 47
D(E_F) = 3.945 states/eV per cell
formation energy from the elements = 887 meV per atom

The following is a SCAN calculation of a PBEsol-optimized structure of Ba2ZrNi, from Alexandria via LeMat-Bulk.

Structure (POSCAR):
```
Ba2ZrNi
1.0
4.519 0.000 0.000
0.000 4.519 0.000
0.000 0.000 10.921
Ba Zr Ni
4 2 2
Cartesian
0.000 0.000 0.000
0.000 2.259 2.730
2.259 0.000 8.191
2.259 2.259 5.461
0.000 2.259 8.191
2.259 0.000 2.730
0.000 0.000 5.461
2.259 2.259 0.000
```

Calculated values
energy above the lowest structure with this stoichiometry = 604 meV/atom
symmetry = I-4m2, No. 119
D(E_F) = 10.001 states/eV per cell
formation energy from the elements = 945 meV per atom

The following is a SCAN calculation of a PBEsol-optimized structure of BaZr2Ni, from Alexandria via LeMat-Bulk.

Structure (POSCAR):
```
BaZr2Ni
1.0
4.189 0.000 0.000
0.000 4.189 0.000
0.000 0.000 5.148
Ba Zr Ni
1 2 1
Cartesian
0.000 0.000 0.000
0.000 2.094 2.574
2.094 0.000 2.574
2.094 2.094 0.000
```

Calculated values
symmetry = P4/mmm, No. 123
D(E_F) = 3.672 states/eV per cell
formation energy from the elements = 699 meV per atom

The following is a SCAN calculation of a PBEsol-optimized structure of Ba2ZrNi, from Alexandria via LeMat-Bulk.

Structure (POSCAR):
```
Ba2ZrNi
1.0
3.645 0.000 0.000
0.000 5.789 0.000
0.000 0.000 11.798
Ba Zr Ni
4 2 2
Cartesian
0.000 0.000 0.000
0.000 2.895 2.307
1.822 0.000 8.207
1.822 2.895 5.899
0.000 0.000 4.454
1.822 2.895 10.353
0.000 2.895 8.735
1.822 0.000 2.836
```

Calculated values
energy above the lowest structure with this stoichiometry = 0 meV/atom
symmetry = Imm2, No. 44
D(E_F) = 11.071 states/eV per cell
formation energy from the elements = 341 meV per atom

The following is a SCAN calculation of a PBEsol-optimized structure of BaNpO4, from Alexandria via LeMat-Bulk.

Structure (POSCAR):
```
BaNpO4
1.0
5.750 0.000 0.000
0.000 8.056 0.000
0.000 0.000 8.135
Ba Np O
4 4 16
Cartesian
0.116 1.565 2.034
0.116 2.463 6.101
5.633 5.593 2.034
5.633 6.491 6.101
2.875 0.000 0.000
2.875 0.000 4.068
2.875 4.028 0.000
2.875 4.028 4.068
1.164 4.634 4.615
1.164 4.634 7.587
1.164 7.450 0.548
1.164 7.450 3.520
2.043 2.014 0.000
2.043 2.014 4.068
2.209 4.232 2.034
2.209 7.852 6.101
3.540 0.204 2.034
3.540 3.824 6.101
3.707 6.042 0.000
3.707 6.042 4.068
4.586 0.606 4.615
4.586 0.606 7.587
4.586 3.422 0.548
4.586 3.422 3.520
```

Calculated values
symmetry = Pbcm, No. 57
formation energy without anion corrections = -3.217 eV per atom

The following is a SCAN calculation of a PBEsol-optimized structure of BaNpP2O8, from Alexandria via LeMat-Bulk.

Structure (POSCAR):
```
BaNpP2O8
1.0
6.294 -2.692 0.000
6.294 2.692 0.000
-2.011 0.000 9.210
Ba Np P O
2 2 4 16
Cartesian
3.147 1.346 0.000
2.141 -1.346 4.605
4.786 1.703 6.907
5.791 -1.703 2.302
4.415 1.285 3.588
7.166 1.285 1.016
3.410 -1.285 8.193
6.161 -1.285 5.621
0.494 0.271 6.478
5.696 1.708 0.837
3.683 1.172 4.955
1.499 -0.271 1.873
5.886 1.708 3.768
3.289 0.097 7.511
5.889 1.172 8.860
4.295 -0.097 2.906
6.282 0.097 6.304
4.688 -1.172 0.350
7.287 -0.097 1.699
4.691 -1.708 5.442
9.077 0.271 7.336
6.894 -1.172 4.255
4.881 -1.708 8.373
10.082 -0.271 2.731
```

Calculated values
symmetry = C2/c, No. 15
D(E_F) = 0.000 states/eV per cell
formation energy without anion corrections = -3.053 eV per atom

The following is a SCAN calculation of a PBEsol-optimized structure of BaNpSe3, from Alexandria via LeMat-Bulk.

Structure (POSCAR):
```
BaNpSe3
1.0
5.399 0.000 0.000
0.000 5.390 0.000
-0.147 0.000 5.397
Ba Np Se
1 1 3
Cartesian
0.000 0.000 0.000
2.259 2.695 2.923
2.148 0.000 2.884
2.242 2.695 0.230
4.944 2.695 3.066
```

Calculated values
symmetry = Pm, No. 6
D(E_F) = 10.105 states/eV per cell
formation energy without anion corrections = -1.497 eV per atom

The following is a SCAN calculation of a PBEsol-optimized structure of BaO10, from Alexandria via LeMat-Bulk.

Structure (POSCAR):
```
BaO10
1.0
5.673 0.000 0.000
0.000 5.673 0.000
0.000 0.000 10.096
Ba O
2 20
Cartesian
0.000 0.000 2.524
0.000 0.000 7.572
0.326 2.291 1.008
0.326 2.291 9.088
0.326 3.383 4.040
0.326 3.383 6.056
2.291 0.326 4.040
2.291 0.326 6.056
2.291 5.348 1.008
2.291 5.348 9.088
2.837 2.837 0.612
2.837 2.837 4.436
2.837 2.837 5.660
2.837 2.837 9.484
3.383 0.326 1.008
3.383 0.326 9.088
3.383 5.348 4.040
3.383 5.348 6.056
5.348 2.291 4.040
5.348 2.291 6.056
5.348 3.383 1.008
5.348 3.383 9.088
```

Calculated values
symmetry = P4/mcc, No. 124
formation energy without anion corrections = -0.412 eV per atom

The following is a SCAN calculation of a PBEsol-optimized structure of Ba2OsO4, from Alexandria via LeMat-Bulk.

Structure (POSCAR):
```
Ba2OsO4
1.0
3.965 0.000 0.000
0.000 3.965 0.000
0.000 0.000 13.461
Ba Os O
4 2 8
Cartesian
0.000 0.000 1.978
0.000 0.000 11.483
1.983 1.983 4.752
1.983 1.983 8.709
0.000 0.000 6.730
1.983 1.983 0.000
0.000 0.000 4.646
0.000 0.000 8.815
0.000 1.983 0.000
0.000 1.983 6.730
1.983 0.000 0.000
1.983 0.000 6.730
1.983 1.983 2.085
1.983 1.983 11.376
```

Calculated values
symmetry = I4/mmm, No. 139
D(E_F) = 5.324 states/eV per cell
formation energy without anion corrections = -2.151 eV per atom

The following is a SCAN calculation of a PBEsol-optimized structure of BaOs3O, from Alexandria via LeMat-Bulk.

Structure (POSCAR):
```
BaOs3O
1.0
4.323 0.000 0.000
0.000 4.323 0.000
0.000 0.000 4.323
Ba Os O
1 3 1
Cartesian
0.000 0.000 0.000
0.000 2.161 2.161
2.161 0.000 2.161
2.161 2.161 0.000
2.161 2.161 2.161
```

Calculated values
symmetry = Pm-3m, No. 221
D(E_F) = 3.638 states/eV per cell
formation energy without anion corrections = 1.495 eV per atom

The following is a SCAN calculation of a PBEsol-optimized structure of BaOsO3, from Alexandria via LeMat-Bulk.

Structure (POSCAR):
```
BaOsO3
1.0
4.010 0.000 0.000
0.000 4.010 0.000
0.000 0.000 4.010
Ba Os O
1 1 3
Cartesian
0.000 0.000 0.000
2.005 2.005 2.005
0.000 2.005 2.005
2.005 0.000 2.005
2.005 2.005 0.000
```

Calculated values
symmetry = Pm-3m, No. 221
D(E_F) = 2.195 states/eV per cell
formation energy without anion corrections = -1.819 eV per atom

The following is a SCAN calculation of a PBEsol-optimized structure of BaP2OsO, from Alexandria via LeMat-Bulk.

Structure (POSCAR):
```
BaP2OsO
1.0
4.940 0.000 0.000
0.000 4.940 0.000
0.000 0.000 3.817
Ba P Os O
1 2 1 1
Cartesian
0.000 0.000 0.000
0.000 2.470 1.908
2.470 0.000 1.908
2.470 2.470 1.908
2.470 2.470 0.000
```

Calculated values
symmetry = P4/mmm, No. 123
D(E_F) = 5.073 states/eV per cell
formation energy without anion corrections = -0.372 eV per atom

The following is a SCAN calculation of a PBEsol-optimized structure of Ba2ScOsO6, from Alexandria via LeMat-Bulk.

Structure (POSCAR):
```
Ba2ScOsO6
1.0
0.000 4.066 4.066
4.066 0.000 4.066
4.066 4.066 0.000
Ba Sc Os O
2 1 1 6
Cartesian
2.033 2.033 2.033
6.099 6.099 6.099
0.000 0.000 0.000
4.066 4.066 4.066
4.066 4.066 2.095
4.066 2.095 4.066
6.036 4.066 4.066
2.095 4.066 4.066
4.066 6.036 4.066
4.066 4.066 6.036
```

Calculated values
symmetry = Fm-3m, No. 225
D(E_F) = 0.164 states/eV per cell
formation energy without anion corrections = -2.741 eV per atom

The following is a SCAN calculation of a PBEsol-optimized structure of Ba2YOsO6, from Alexandria via LeMat-Bulk.

Structure (POSCAR):
```
Ba2YOsO6
1.0
0.000 4.172 4.172
4.172 0.000 4.172
4.172 4.172 0.000
Ba Y Os O
2 1 1 6
Cartesian
2.086 2.086 2.086
6.258 6.258 6.258
0.000 0.000 0.000
4.172 4.172 4.172
4.172 4.172 2.206
4.172 2.206 4.172
6.139 4.172 4.172
2.206 4.172 4.172
4.172 6.139 4.172
4.172 4.172 6.139
```

Calculated values
symmetry = Fm-3m, No. 225
formation energy without anion corrections = -2.742 eV per atom

The following is a SCAN calculation of a PBEsol-optimized structure of Ba2ZnOsO6, from Alexandria via LeMat-Bulk.

Structure (POSCAR):
```
Ba2ZnOsO6
1.0
0.000 4.040 4.040
4.040 0.000 4.040
4.040 4.040 0.000
Ba Zn Os O
2 1 1 6
Cartesian
2.020 2.020 2.020
6.061 6.061 6.061
0.000 0.000 0.000
4.040 4.040 4.040
4.040 4.040 2.103
4.040 2.103 4.040
5.978 4.040 4.040
2.103 4.040 4.040
4.040 5.978 4.040
4.040 4.040 5.978
```

Calculated values
symmetry = Fm-3m, No. 225
D(E_F) = 5.319 states/eV per cell
formation energy without anion corrections = -2.085 eV per atom

The following is a SCAN calculation of a PBEsol-optimized structure of Ba2PO, from Alexandria via LeMat-Bulk.

Structure (POSCAR):
```
Ba2PO
1.0
7.352 0.000 0.000
0.000 7.352 0.000
0.000 0.000 7.352
Ba P O
8 4 4
Cartesian
1.838 1.838 1.838
1.838 1.838 5.514
1.838 5.514 1.838
1.838 5.514 5.514
5.514 1.838 1.838
5.514 1.838 5.514
5.514 5.514 1.838
5.514 5.514 5.514
0.000 0.000 0.000
0.000 3.676 3.676
3.676 0.000 3.676
3.676 3.676 0.000
0.000 0.000 3.676
0.000 3.676 0.000
3.676 0.000 0.000
3.676 3.676 3.676
```

Calculated values
symmetry = Fm-3m, No. 225
D(E_F) = 17.138 states/eV per cell
formation energy without anion corrections = -1.252 eV per atom

The following is a SCAN calculation of a PBEsol-optimized structure of BaP2O6, from Alexandria via LeMat-Bulk.

Structure (POSCAR):
```
BaP2O6
1.0
7.526 0.000 0.000
0.000 6.915 0.000
-6.734 0.000 9.677
Ba P O
4 8 24
Cartesian
-0.831 0.675 3.126
-4.197 2.783 7.965
4.990 4.132 1.712
1.623 6.240 6.551
-2.332 4.874 5.590
1.035 5.498 0.752
1.154 4.206 3.261
-2.213 6.167 8.099
3.005 0.748 1.578
-0.361 2.709 6.416
-0.243 1.417 8.926
3.124 2.041 4.087
-3.739 4.714 6.090
-0.373 5.658 1.252
-5.458 4.988 9.048
-2.091 5.384 4.209
-3.349 0.201 7.896
0.018 3.256 3.058
1.723 0.022 0.952
-1.644 3.435 5.791
1.836 4.560 1.802
-1.531 5.812 6.640
-2.414 4.880 8.846
0.952 5.492 4.007
-0.160 1.423 5.670
3.207 2.034 0.831
2.324 1.102 3.037
-1.043 2.355 7.875
2.436 3.480 3.886
-0.930 6.892 8.725
0.775 3.659 6.619
4.142 6.714 1.781
2.884 1.531 5.468
6.251 1.927 0.629
1.165 1.256 8.425
4.532 2.201 3.587
```

Calculated values
symmetry = P2_1/c, No. 14
D(E_F) = 0.000 states/eV per cell
formation energy without anion corrections = -2.794 eV per atom